The following is a PBE calculation of an optimized crystal structure of Ac2PmNd, from Alexandria via LeMat-Bulk.

Cell: 3.7586 3.7586 13.4343 Å, 81.96 81.96 60.00°
Fractional positions:
Nd  0.0000  0.0000  0.0000
Pm  0.5000  0.5000  0.5000
Ac  0.0890  0.0890  0.7329
Ac  0.9110  0.9110  0.2671

energy relative to the lowest polymorph listed for this composition = 16.44 kJ per mole of atoms
symmetry = R-3m
density = 7.609 Mg/m³

---

The following is a PBE calculation of an optimized crystal structure of Al4CrRh, from Alexandria via LeMat-Bulk.

Cell: 5.0495 5.0495 5.0495 Å, 60.00 60.00 60.00°
Site moments in Bohr magnetons follow the coordinates.
Fractional positions:
Rh  0.0000  0.0000  0.0000  0.20
Al  0.3754  0.3754  0.8737  -0.03
Al  0.3754  0.3754  0.3754  -0.03
Al  0.8737  0.3754  0.3754  -0.03
Al  0.3754  0.8737  0.3754  -0.03
Cr  0.7500  0.7500  0.7500  3.17

final energy = -5.3097 eV/atom
symmetry = F-43m
density = 4.794 Mg/m³

---

The following is a PBE calculation of an optimized crystal structure of CsMg6Zn, from Alexandria via LeMat-Bulk.

Cell: 9.7193 9.7193 4.8419 Å, 90.00 90.00 142.28°
Fractional positions:
Mg  0.6179  0.3821  0.0000
Cs  0.2922  0.7078  0.5000
Mg  0.3194  0.1930  0.5000
Mg  0.2068  0.2932  0.0000
Mg  0.7068  0.7932  0.0000
Mg  0.8070  0.6806  0.5000
Zn  0.9387  0.0613  0.5000
Mg  0.1111  0.8889  0.0000

energy relative to the lowest polymorph listed for this composition = 0.00 kJ per mole of atoms
symmetry = Amm2
density = 2.042 Mg/m³

---

The following is a PBE calculation of an optimized crystal structure of BaCaZn2Br, from Alexandria via LeMat-Bulk.

Cell: 6.3766 6.0443 6.3766 Å, 90.00 90.00 90.00°
Fractional positions:
Br  0.0000  0.5000  0.0000
Zn  0.0000  0.0000  0.5000
Ba  0.0000  0.0000  0.0000
Zn  0.5000  0.0000  0.0000
Ca  0.5000  0.5000  0.5000

symmetry = P4/mmm
formation energy from raw total energies = 0.270 kcal/mol of atoms
density = 2.622 Mg/m³

---

The following is a PBE calculation of an optimized crystal structure of Rb2YGaBr6, from Alexandria via LeMat-Bulk.

Cell: 8.2256 8.2256 8.2267 Å, 60.00 60.00 90.00°
Fractional positions:
Br  0.2405  0.7595  0.0000
Br  0.7595  0.7595  0.0000
Br  0.2405  0.2405  0.0000
Ga  0.5000  0.5000  0.0000
Y  0.0000  0.0000  0.0000
Br  0.7595  0.2405  0.0000
Rb  0.2500  0.7500  0.5000
Br  0.7596  0.7596  0.4809
Br  0.2404  0.2404  0.5191
Rb  0.7500  0.2500  0.5000

energy relative to the lowest polymorph listed for this composition = 3.11 kJ per mole of atoms
symmetry = Fm-3m
formation energy from raw total energies = -36.050 kcal/mol of atoms
density = 3.413 Mg/m³

---

The following is a PBE calculation of an optimized crystal structure of TbPrZnCu, from Alexandria via LeMat-Bulk.

Cell: 5.1007 5.1007 5.1007 Å, 60.00 60.00 60.00°
Fractional positions:
Zn  0.7500  0.7500  0.7500
Cu  0.2500  0.2500  0.2500
Tb  0.0000  0.0000  0.0000
Pr  0.5000  0.5000  0.5000

energy relative to the lowest polymorph listed for this composition = 1.47 kJ per mole of atoms
symmetry = F-43m
density = 7.588 Mg/m³

---

The following is a PBE calculation of an optimized crystal structure of Cs2Bi2Sb, from Alexandria via LeMat-Bulk.

Cell: 8.2816 8.2816 6.3377 Å, 90.00 90.00 90.00°
Fractional positions:
Cs  0.8218  0.3218  0.5000
Cs  0.3218  0.1782  0.5000
Cs  0.1782  0.6782  0.5000
Cs  0.6782  0.8218  0.5000
Bi  0.1309  0.3691  0.0000
Sb  0.0000  0.0000  0.0000
Bi  0.3691  0.8691  0.0000
Bi  0.8691  0.6309  0.0000
Bi  0.6309  0.1309  0.0000
Sb  0.5000  0.5000  0.0000

energy relative to the lowest polymorph listed for this composition = 3.28 kJ per mole of atoms
symmetry = P4/mbm
formation energy from raw total energies = -6.175 kcal/mol of atoms
density = 6.155 Mg/m³

---

The following is a PBE calculation of an optimized crystal structure of K3AlB, from Alexandria via LeMat-Bulk.

Cell: 6.0311 6.0311 6.0311 Å, 90.00 90.00 90.00°
Site moments in Bohr magnetons follow the coordinates.
Fractional positions:
K  0.0000  0.0000  0.5000  0.02
K  0.5000  0.0000  0.0000  0.03
K  0.0000  0.5000  0.0000  0.03
Al  0.5000  0.5000  0.5000  -0.12
B  0.0000  0.0000  0.0000  0.63

energy relative to the lowest polymorph listed for this composition = 0.00 kJ per mole of atoms
symmetry = Pm-3m
density = 1.174 Mg/m³

---

The following is a PBE calculation of an optimized crystal structure of ReOs3, from Alexandria via LeMat-Bulk.

Cell: 2.7577 4.3709 4.7901 Å, 90.00 90.00 90.00°
Fractional positions:
Os  0.5000  0.0000  0.5012
Os  0.5000  0.5000  0.8368
Os  0.0000  0.0000  0.9993
Re  0.0000  0.5000  0.3293

energy relative to the lowest polymorph listed for this composition = 2.36 kJ per mole of atoms
symmetry = Pmm2
density = 21.768 Mg/m³

---

The following is a PBE calculation of an optimized crystal structure of AgSb2Te, from Alexandria via LeMat-Bulk.

Cell: 3.1182 4.1155 8.1575 Å, 90.00 90.00 90.00°
Fractional positions:
Ag  0.5000  0.5000  0.7500
Te  0.5000  0.5000  0.2500
Sb  0.0000  0.0000  0.9583
Sb  0.0000  0.0000  0.5417

symmetry = Pmmm
formation energy from raw total energies = 4.885 kcal/mol of atoms
density = 7.598 Mg/m³

---

The following is a PBE calculation of an optimized crystal structure of TlCl3, from Alexandria via LeMat-Bulk.

Cell: 6.9464 6.9464 6.9464 Å, 150.43 135.60 54.25°
Fractional positions:
Cl  0.4081  0.4081  0.0000
Tl  0.2500  0.7500  0.5000
Cl  0.7500  0.2500  0.5000
Cl  0.0919  0.0919  0.0000

symmetry = Immm
formation energy from raw total energies = -8.466 kcal/mol of atoms
density = 4.485 Mg/m³

---

The following is a PBE calculation of an optimized crystal structure of Hg2OsW, from Alexandria via LeMat-Bulk.

Cell: 5.0804 5.0804 4.9730 Å, 80.12 80.12 34.01°
Fractional positions:
W  0.2500  0.2500  0.2500
Os  0.7500  0.7500  0.7500
Hg  0.0013  0.0013  0.9983
Hg  0.4987  0.4987  0.5017

energy relative to the lowest polymorph listed for this composition = 46.66 kJ per mole of atoms
symmetry = C2/m
density = 18.225 Mg/m³

---

The following is a PBE calculation of an optimized crystal structure of NdDyHoIn, from Alexandria via LeMat-Bulk.

Cell: 5.4999 5.4999 5.4999 Å, 60.00 60.00 60.00°
Site moments in Bohr magnetons follow the coordinates.
Fractional positions:
In  0.2500  0.2500  0.2500  0.00
Nd  0.5000  0.5000  0.5000  0.16
Ho  0.7500  0.7500  0.7500  0.28
Dy  0.0000  0.0000  0.0000  0.23

energy relative to the lowest polymorph listed for this composition = 0.00 kJ per mole of atoms
symmetry = F-43m
density = 8.279 Mg/m³

---

The following is a PBE calculation of an optimized crystal structure of ZnSiAu3, from Alexandria via LeMat-Bulk.

Cell: 4.7882 4.7882 4.7882 Å, 90.00 90.00 90.00°
Fractional positions:
Au  0.0000  0.5000  0.0000
Au  0.0000  0.0000  0.5000
Au  0.5000  0.0000  0.0000
Zn  0.5000  0.5000  0.5000
Si  0.0000  0.0000  0.0000

energy relative to the lowest polymorph listed for this composition = 33.80 kJ per mole of atoms
symmetry = Pm-3m
formation energy from raw total energies = 6.882 kcal/mol of atoms
density = 10.352 Mg/m³

---

The following is a PBE calculation of an optimized crystal structure of Li2PmMg4, from Alexandria via LeMat-Bulk.

Cell: 4.8334 8.2640 8.2640 Å, 90.00 90.00 90.00°
Fractional positions:
Mg  0.0000  0.0957  0.3475
Li  0.5000  0.7200  0.7200
Li  0.0000  0.2200  0.7800
Mg  0.0000  0.3475  0.0957
Pm  0.5000  0.0000  0.0000
Mg  0.5000  0.4043  0.8475
Mg  0.0000  0.6525  0.9043
Pm  0.0000  0.5000  0.5000
Li  0.5000  0.2800  0.2800
Mg  0.5000  0.1525  0.5957
Mg  0.0000  0.9043  0.6525
Mg  0.5000  0.8475  0.4043
Mg  0.5000  0.5957  0.1525
Li  0.0000  0.7800  0.2200

final energy = -2.1321 eV/atom
symmetry = P4_2/mnm
density = 2.577 Mg/m³

---

The following is a PBE calculation of an optimized crystal structure of Pu2SbPt, from Alexandria via LeMat-Bulk.

Cell: 4.3976 4.5658 4.5658 Å, 90.00 90.00 90.00°
Site moments in Bohr magnetons follow the coordinates.
Fractional positions:
Pu  0.0000  0.0000  0.5000  5.43
Pt  0.5000  0.0000  0.0000  0.01
Sb  0.5000  0.5000  0.5000  -0.08
Pu  0.0000  0.5000  0.0000  5.43

energy relative to the lowest polymorph listed for this composition = 7.66 kJ per mole of atoms
symmetry = P4/mmm
formation energy from raw total energies = -14.000 kcal/mol of atoms
density = 14.578 Mg/m³

---

The following is a PBE calculation of an optimized crystal structure of CsRbS2N, from Alexandria via LeMat-Bulk.

Cell: 6.1574 6.1574 5.6594 Å, 90.00 90.00 90.00°
Site moments in Bohr magnetons follow the coordinates.
Fractional positions:
N  0.0000  0.0000  0.5000  1.79
S  0.0000  0.5000  0.0000  0.64
Cs  0.5000  0.5000  0.5000  0.00
Rb  0.0000  0.0000  0.0000  0.06
S  0.5000  0.0000  0.0000  0.64

energy relative to the lowest polymorph listed for this composition = 0.00 kJ per mole of atoms
symmetry = P4/mmm
formation energy from raw total energies = 19.450 kcal/mol of atoms
density = 2.295 Mg/m³

---

The following is a PBE calculation of an optimized crystal structure of RbYTi2F, from Alexandria via LeMat-Bulk.

Cell: 4.8877 9.2437 4.8877 Å, 90.00 90.00 90.00°
Site moments in Bohr magnetons follow the coordinates.
Fractional positions:
Ti  0.0000  0.0000  0.5000  0.45
Y  0.0000  0.0000  0.0000  0.09
Rb  0.0000  0.5000  0.0000  0.00
F  0.5000  0.5000  0.5000  0.01
Ti  0.5000  0.0000  0.0000  0.34

symmetry = P4/mmm
formation energy from raw total energies = 21.844 kcal/mol of atoms
density = 2.174 Mg/m³

---

The following is a PBE calculation of an optimized crystal structure of NbFePt4, from Alexandria via LeMat-Bulk.

Cell: 4.8805 4.8812 4.8113 Å, 80.61 80.58 120.97°
Site moments in Bohr magnetons follow the coordinates.
Fractional positions:
Pt  0.8350  0.6660  0.0013  0.09
Pt  0.6605  0.8403  0.5014  0.10
Nb  0.9982  0.5027  0.5013  -0.22
Pt  0.1612  0.3394  0.0013  0.09
Pt  0.3358  0.1651  0.5012  0.10
Fe  0.4981  0.0028  0.0013  2.89

energy relative to the lowest polymorph listed for this composition = 0.00 kJ per mole of atoms
symmetry = C2/m
density = 16.640 Mg/m³

---

The following is a PBE calculation of an optimized crystal structure of Pr4Mg2N, from Alexandria via LeMat-Bulk.

Cell: 5.1663 5.1663 8.7557 Å, 72.84 72.84 90.00°
Fractional positions:
N  0.0000  0.0000  0.0000
Pr  0.0000  0.5000  0.0000
Pr  0.5000  0.0000  0.0000
Pr  0.8466  0.8466  0.3068
Mg  0.6331  0.6331  0.7338
Pr  0.1534  0.1534  0.6932
Mg  0.3669  0.3669  0.2662

symmetry = I4/mmm
formation energy from raw total energies = -6.763 kcal/mol of atoms
density = 4.896 Mg/m³

---

The following is a PBE calculation of an optimized crystal structure of Ca6HRh2, from Alexandria via LeMat-Bulk.

Cell: 7.6165 6.4481 11.4730 Å, 54.88 90.00 90.00°
Fractional positions:
Ca  0.6801  0.5907  0.5648
Ca  0.3199  0.4093  0.4352
Ca  0.1634  0.7624  0.5645
H  0.5000  0.5000  0.0000
Rh  0.3824  0.2893  0.7518
Ca  0.0411  0.1222  0.7469
Ca  0.8366  0.2376  0.4355
Rh  0.8824  0.7107  0.7482
Ca  0.4589  0.1222  0.2469
Ca  0.1801  0.4093  0.9352
Rh  0.6176  0.7107  0.2482
Ca  0.9589  0.8778  0.2531
Ca  0.8199  0.5907  0.0648
Rh  0.1176  0.2893  0.2518
Ca  0.5411  0.8778  0.7531
H  0.0000  0.5000  0.5000
Ca  0.3366  0.7624  0.0645
Ca  0.6634  0.2376  0.9355

final energy = -3.7033 eV/atom
symmetry = P2_1/c
density = 3.223 Mg/m³

---

The following is a PBE calculation of an optimized crystal structure of Ba5Ca3, from Alexandria via LeMat-Bulk.

Cell: 11.7000 11.7000 7.7312 Å, 90.00 90.00 120.00°
Fractional positions:
Ca  0.4132  0.4132  0.2500
Ca  0.0000  0.4132  0.7500
Ca  0.5868  0.0000  0.2500
Ba  0.3333  0.6667  0.5000
Ba  0.7592  0.0000  0.7500
Ba  0.6667  0.3333  0.0000
Ba  0.7592  0.7592  0.2500
Ca  0.0000  0.5868  0.2500
Ba  0.0000  0.2408  0.2500
Ca  0.4132  0.0000  0.7500
Ba  0.2408  0.2408  0.7500
Ba  0.3333  0.6667  0.0000
Ca  0.5868  0.5868  0.7500
Ba  0.6667  0.3333  0.5000
Ba  0.0000  0.7592  0.7500
Ba  0.2408  0.0000  0.2500

energy relative to the lowest polymorph listed for this composition = 5.57 kJ per mole of atoms
symmetry = P6_3/mcm
density = 2.924 Mg/m³

---

The following is a PBE calculation of an optimized crystal structure of LiZn12Ag3, from Alexandria via LeMat-Bulk.

Cell: 4.2055 4.2055 13.8541 Å, 90.00 90.00 90.00°
Fractional positions:
Zn  0.0000  0.5000  0.6274
Zn  0.0000  0.5000  0.8816
Zn  0.5000  0.5000  0.5000
Zn  0.5000  0.0000  0.6274
Zn  0.5000  0.5000  0.7520
Zn  0.5000  0.0000  0.3726
Zn  0.5000  0.5000  0.2480
Li  0.0000  0.0000  0.0000
Zn  0.5000  0.0000  0.8816
Ag  0.0000  0.0000  0.5000
Ag  0.0000  0.0000  0.7567
Zn  0.0000  0.5000  0.3726
Zn  0.0000  0.5000  0.1184
Ag  0.0000  0.0000  0.2433
Zn  0.5000  0.5000  0.0000
Zn  0.5000  0.0000  0.1184

final energy = -1.6394 eV/atom
symmetry = P4/mmm
density = 7.559 Mg/m³

---

The following is a PBE calculation of an optimized crystal structure of CsRb2CdTe, from Alexandria via LeMat-Bulk.

Cell: 7.0221 7.0221 7.4274 Å, 90.00 90.00 90.00°
Fractional positions:
Te  0.0000  0.0000  0.0000
Rb  0.5000  0.0000  0.0000
Cd  0.5000  0.5000  0.5000
Rb  0.0000  0.5000  0.0000
Cs  0.0000  0.0000  0.5000

symmetry = P4/mmm
formation energy from raw total energies = -9.886 kcal/mol of atoms
density = 2.466 Mg/m³

---

The following is a PBE calculation of an optimized crystal structure of Pa8Ga2Tc, from Alexandria via LeMat-Bulk.

Cell: 5.3387 7.4863 7.7150 Å, 117.43 110.24 90.00°
Fractional positions:
Ga  0.8005  0.3607  0.6011
Pa  0.1529  0.2058  0.3059
Pa  0.6663  0.9072  0.3326
Pa  0.3337  0.0928  0.6674
Tc  0.5000  0.0000  0.0000
Pa  0.4057  0.5786  0.8115
Pa  0.0372  0.7779  0.0743
Pa  0.9628  0.2221  0.9257
Pa  0.8471  0.7942  0.6941
Ga  0.1995  0.6393  0.3989
Pa  0.5943  0.4214  0.1885

final energy = -8.4802 eV/atom
symmetry = C2/m
density = 13.742 Mg/m³

---

no.,total magnetic moment (μB/cell)
1,0.0
2,3.5
3,0.0
4,0.0
5,0.0
6,0.0
7,0.0
8,0.8
9,0.0
10,0.0
11,0.0
12,0.0
13,1.0
14,0.0
15,0.0
16,11.3
17,5.0
18,1.2
19,3.0
20,0.0
21,0.0
22,0.0
23,0.0
24,0.0
25,0.0